(1)
Density functional theory data (PBEsol) for a relaxed BaLaZnS2 crystal. Values from VASP.

Structure (Quantum ESPRESSO input):
```
&SYSTEM
  ibrav = 0, nat = 5, ntyp = 4
/
ATOMIC_SPECIES
S 32.06 S.upf
La 138.91 La.upf
Ba 137.33 Ba.upf
Zn 65.41 Zn.upf
CELL_PARAMETERS angstrom
-1.313 -2.112 -5.080
2.617 -4.834 1.333
-5.185 -2.186 2.249
ATOMIC_POSITIONS angstrom
S -0.657 -1.056 -2.540
S 1.308 -2.417 0.666
La -2.592 -1.093 1.125
Ba 0.000 0.000 0.000
Zn -1.941 -4.566 -0.749
```

The formation energy without anion corrections is 0.51 eV/atom. The symmetry is P4/mmm, No. 123.

---

(2)
Density functional theory data (PBEsol) for a relaxed BaLaSb2 crystal. Values from VASP.

Structure (Quantum ESPRESSO input):
```
&SYSTEM
  ibrav = 0, nat = 4, ntyp = 3
/
ATOMIC_SPECIES
Ba 137.33 Ba.upf
La 138.91 La.upf
Sb 121.76 Sb.upf
CELL_PARAMETERS angstrom
-1.246 -2.529 -3.182
-4.021 -2.035 3.191
-3.421 3.945 -1.796
ATOMIC_POSITIONS angstrom
Ba -4.344 -0.309 -0.893
La -0.623 -1.264 -1.591
Sb -1.711 1.973 -0.898
Sb -2.011 -1.017 1.596
```

The formation energy without anion corrections is -0.88 eV/atom. The symmetry is P4/mmm, No. 123.

---

(3)
Density functional theory data (PBEsol) for a relaxed BaLaSb3 crystal. Values from VASP.

Structure (Quantum ESPRESSO input):
```
&SYSTEM
  ibrav = 0, nat = 5, ntyp = 3
/
ATOMIC_SPECIES
Sb 121.76 Sb.upf
La 138.91 La.upf
Ba 137.33 Ba.upf
CELL_PARAMETERS angstrom
-2.875 5.160 0.136
-0.808 -0.296 -5.846
-5.098 -2.863 0.850
ATOMIC_POSITIONS angstrom
Sb -2.549 -1.432 0.425
Sb -1.438 2.580 0.068
Sb -0.404 -0.148 -2.923
La 0.000 0.000 0.000
Ba -4.391 1.000 -2.430
```

The formation energy without anion corrections is -0.26 eV/atom. The symmetry is Pm-3m, No. 221.

---

(4)
Density functional theory data (PBEsol) for a relaxed BaLaSb crystal. Values from VASP.

Structure (Quantum ESPRESSO input):
```
&SYSTEM
  ibrav = 0, nat = 3, ntyp = 3
/
ATOMIC_SPECIES
Sb 121.76 Sb.upf
Ba 137.33 Ba.upf
La 138.91 La.upf
CELL_PARAMETERS angstrom
-1.112 2.820 3.418
2.676 -3.004 3.349
2.398 3.942 -2.472
ATOMIC_POSITIONS angstrom
Sb 2.132 0.457 2.797
Ba -0.015 0.037 0.045
La 1.846 3.263 1.452
```

The formation energy without anion corrections is -0.58 eV/atom. The symmetry is P3m1, No. 156.

---

(5)
Density functional theory data (PBEsol) for a relaxed BaLaSb crystal. Values from VASP.

Structure (Quantum ESPRESSO input):
```
&SYSTEM
  ibrav = 0, nat = 3, ntyp = 3
/
ATOMIC_SPECIES
Ba 137.33 Ba.upf
Sb 121.76 Sb.upf
La 138.91 La.upf
CELL_PARAMETERS angstrom
4.227 0.000 0.000
0.000 4.227 0.000
-2.113 -2.113 6.276
ATOMIC_POSITIONS angstrom
Ba 0.000 0.000 0.278
Sb 2.113 2.113 2.388
La 0.000 0.000 3.611
```

The formation energy without anion corrections is -0.66 eV/atom. The symmetry is I4mm, No. 107.

---

(6)
Density functional theory data (PBEsol) for a relaxed Ba2LaSb crystal. Values from VASP.

Structure (Quantum ESPRESSO input):
```
&SYSTEM
  ibrav = 0, nat = 4, ntyp = 3
/
ATOMIC_SPECIES
Ba 137.33 Ba.upf
Sb 121.76 Sb.upf
La 138.91 La.upf
CELL_PARAMETERS angstrom
-2.264 -2.236 3.275
-3.965 -2.052 -0.959
3.201 -10.452 -1.739
ATOMIC_POSITIONS angstrom
Ba -2.606 -10.481 0.592
Ba -0.422 -4.258 -0.015
Sb -1.514 -7.370 0.288
La 0.000 0.000 0.000
```

The formation energy without anion corrections is -0.15 eV/atom. The symmetry is R-3m, No. 166.

---

(7)
Density functional theory data (PBEsol) for a relaxed Ba4LaSb crystal. Values from VASP.

Structure (Quantum ESPRESSO input):
```
&SYSTEM
  ibrav = 0, nat = 6, ntyp = 3
/
ATOMIC_SPECIES
Ba 137.33 Ba.upf
Sb 121.76 Sb.upf
La 138.91 La.upf
CELL_PARAMETERS angstrom
7.140 0.000 0.000
3.570 6.184 0.000
3.570 2.061 5.830
ATOMIC_POSITIONS angstrom
Ba 7.140 6.214 2.175
Ba 7.140 4.122 5.134
Ba 5.329 3.077 2.175
Ba 8.952 3.077 2.175
Sb 0.000 0.000 0.000
La 10.710 6.184 4.373
```

The formation energy without anion corrections is 0.25 eV/atom. The symmetry is F-43m, No. 216.

---

(8)
Density functional theory data (PBEsol) for a relaxed BaLaSc2 crystal. Values from VASP.

Structure (Quantum ESPRESSO input):
```
&SYSTEM
  ibrav = 0, nat = 4, ntyp = 3
/
ATOMIC_SPECIES
La 138.91 La.upf
Sc 44.96 Sc.upf
Ba 137.33 Ba.upf
CELL_PARAMETERS angstrom
-3.181 0.365 -1.303
-2.157 -1.697 4.791
1.428 6.151 2.822
ATOMIC_POSITIONS angstrom
La -0.612 4.137 4.372
Sc -2.585 0.300 -1.058
Sc -3.699 0.873 1.826
Ba -1.072 3.133 0.627
```

The symmetry is Amm2, No. 38. The energy relative to the lowest polymorph listed for this composition is 0.000 eV/atom. The formation energy is 0.241 eV/atom.

---

(9)
Density functional theory data (PBEsol) for a relaxed BaLa2Sc crystal. Values from VASP.

Structure (Quantum ESPRESSO input):
```
&SYSTEM
  ibrav = 0, nat = 4, ntyp = 3
/
ATOMIC_SPECIES
La 138.91 La.upf
Sc 44.96 Sc.upf
Ba 137.33 Ba.upf
CELL_PARAMETERS angstrom
-3.270 1.465 -0.738
-1.401 -1.638 2.956
2.426 8.315 5.756
ATOMIC_POSITIONS angstrom
La -1.693 2.114 2.632
La 0.077 0.265 0.183
Sc 1.142 3.914 2.709
Ba -0.557 6.008 5.328
```

The symmetry is P4mm, No. 99. The formation energy is 0.169 eV/atom.

---

(10)
Density functional theory data (PBEsol) for a relaxed BaLaSc2 crystal. Values from VASP.

Structure (Quantum ESPRESSO input):
```
&SYSTEM
  ibrav = 0, nat = 4, ntyp = 3
/
ATOMIC_SPECIES
Sc 44.96 Sc.upf
La 138.91 La.upf
Ba 137.33 Ba.upf
CELL_PARAMETERS angstrom
3.701 0.000 0.000
0.000 5.789 0.000
-1.851 -2.895 5.823
ATOMIC_POSITIONS angstrom
Sc 0.000 0.000 3.036
Sc 1.851 2.895 2.787
La 0.000 2.895 0.000
Ba 1.851 0.000 0.000
```

The symmetry is Immm, No. 71. The energy relative to the lowest polymorph listed for this composition is 0.126 eV/atom. The formation energy is 0.367 eV/atom.

---

(11)
Density functional theory data (PBEsol) for a relaxed BaLaSc2 crystal. Values from VASP.

Structure (Quantum ESPRESSO input):
```
&SYSTEM
  ibrav = 0, nat = 4, ntyp = 3
/
ATOMIC_SPECIES
La 138.91 La.upf
Ba 137.33 Ba.upf
Sc 44.96 Sc.upf
CELL_PARAMETERS angstrom
-0.935 -1.729 2.738
-1.734 -2.871 -0.330
9.749 -7.913 0.406
ATOMIC_POSITIONS angstrom
La 0.000 0.000 0.000
Ba 3.540 -6.256 1.407
Sc 7.062 -6.302 0.506
Sc 0.018 -6.211 2.308
```

The symmetry is R-3m, No. 166. The energy relative to the lowest polymorph listed for this composition is 0.179 eV/atom. The formation energy is 0.421 eV/atom.

---

(12)
Density functional theory data (PBEsol) for a relaxed BaLaSc2Ta crystal. Values from VASP.

Structure (Quantum ESPRESSO input):
```
&SYSTEM
  ibrav = 0, nat = 5, ntyp = 4
/
ATOMIC_SPECIES
La 138.91 La.upf
Sc 44.96 Sc.upf
Ba 137.33 Ba.upf
Ta 180.95 Ta.upf
CELL_PARAMETERS angstrom
5.248 0.000 0.000
0.000 5.248 0.000
0.000 0.000 5.821
ATOMIC_POSITIONS angstrom
La 2.624 2.624 2.911
Sc 0.000 2.624 0.000
Sc 2.624 0.000 0.000
Ba 0.000 0.000 2.911
Ta 0.000 0.000 0.000
```

The symmetry is P4/mmm, No. 123. The formation energy is 0.779 eV/atom.

---

(13)
Density functional theory data (PBEsol) for a relaxed BaLa3Se crystal. Values from VASP.

Structure (Quantum ESPRESSO input):
```
&SYSTEM
  ibrav = 0, nat = 5, ntyp = 3
/
ATOMIC_SPECIES
La 138.91 La.upf
Ba 137.33 Ba.upf
Se 78.96 Se.upf
CELL_PARAMETERS angstrom
5.772 0.000 0.000
0.000 5.772 0.000
0.000 0.000 5.772
ATOMIC_POSITIONS angstrom
La 0.000 2.886 0.000
La 0.000 0.000 2.886
La 2.886 0.000 0.000
Ba 0.000 0.000 0.000
Se 2.886 2.886 2.886
```

The formation energy without anion corrections is 0.65 eV/atom. The symmetry is Pm-3m, No. 221.

---

(14)
Density functional theory data (PBEsol) for a relaxed BaLaSe4 crystal. Values from VASP.

Structure (Quantum ESPRESSO input):
```
&SYSTEM
  ibrav = 0, nat = 6, ntyp = 3
/
ATOMIC_SPECIES
Se 78.96 Se.upf
Ba 137.33 Ba.upf
La 138.91 La.upf
CELL_PARAMETERS angstrom
-4.421 3.377 2.122
-4.215 2.041 -3.677
-5.531 -2.184 0.307
ATOMIC_POSITIONS angstrom
Se -7.422 2.236 -2.315
Se -8.083 0.113 -0.313
Se -5.304 1.211 -0.467
Se -7.525 2.908 0.599
Ba -10.625 2.425 -0.936
La 0.000 0.000 0.000
```

The formation energy without anion corrections is -0.63 eV/atom. The symmetry is F-43m, No. 216.

---

(15)
Density functional theory data (PBEsol) for a relaxed Ba2LaSe crystal. Values from VASP.

Structure (Quantum ESPRESSO input):
```
&SYSTEM
  ibrav = 0, nat = 4, ntyp = 3
/
ATOMIC_SPECIES
La 138.91 La.upf
Se 78.96 Se.upf
Ba 137.33 Ba.upf
CELL_PARAMETERS angstrom
4.450 0.000 -0.009
0.000 5.132 0.000
-2.201 0.000 6.457
ATOMIC_POSITIONS angstrom
La -0.263 0.000 3.328
Se -0.261 2.566 4.841
Ba 1.967 0.000 5.916
Ba 1.956 2.566 2.039
```

The formation energy without anion corrections is -0.71 eV/atom. The symmetry is Pm, No. 6.

---

(16)
Density functional theory data (PBEsol) for a relaxed Ba2LaSe crystal. Values from VASP.

Structure (Quantum ESPRESSO input):
```
&SYSTEM
  ibrav = 0, nat = 4, ntyp = 3
/
ATOMIC_SPECIES
La 138.91 La.upf
Ba 137.33 Ba.upf
Se 78.96 Se.upf
CELL_PARAMETERS angstrom
3.982 0.089 0.000
-1.452 3.709 0.000
0.000 0.000 11.014
ATOMIC_POSITIONS angstrom
La 0.000 0.000 4.831
Ba 1.265 1.899 8.007
Ba 0.000 0.000 0.733
Se 1.265 1.899 2.949
```

The formation energy without anion corrections is -0.71 eV/atom. The symmetry is Cmm2, No. 35.

---

(17)
Density functional theory data (PBEsol) for a relaxed BaLaSi2 crystal. Values from VASP.

Structure (Quantum ESPRESSO input):
```
&SYSTEM
  ibrav = 0, nat = 8, ntyp = 3
/
ATOMIC_SPECIES
Si 28.09 Si.upf
Ba 137.33 Ba.upf
La 138.91 La.upf
CELL_PARAMETERS angstrom
-2.658 2.607 -2.628
-4.742 -4.732 0.103
-1.593 1.757 7.305
ATOMIC_POSITIONS angstrom
Si -0.770 0.151 0.929
Si -6.493 1.207 3.814
Si -8.224 -0.519 3.851
Si -2.501 -1.575 0.967
Ba -5.173 -1.856 3.390
Ba -3.821 1.489 1.390
La -5.172 -1.946 -0.650
La -3.822 1.578 5.430
```

The formation energy without anion corrections is -0.64 eV/atom. The symmetry is Cmcm, No. 63. The energy relative to the lowest polymorph listed for this composition is 0.000 eV/atom.

---

(18)
Density functional theory data (PBEsol) for a relaxed BaLaSi2 crystal. Values from VASP.

Structure (Quantum ESPRESSO input):
```
&SYSTEM
  ibrav = 0, nat = 4, ntyp = 3
/
ATOMIC_SPECIES
Si 28.09 Si.upf
Ba 137.33 Ba.upf
La 138.91 La.upf
CELL_PARAMETERS angstrom
-2.768 0.173 -2.134
1.162 -2.808 -1.735
-4.458 -5.160 5.365
ATOMIC_POSITIONS angstrom
Si -3.263 -3.777 3.927
Si -1.195 -1.383 1.438
Ba -0.803 -1.317 -1.934
La -3.032 -3.897 0.748
```

The formation energy without anion corrections is -0.31 eV/atom. The symmetry is P4/mmm, No. 123. The energy relative to the lowest polymorph listed for this composition is 0.330 eV/atom.

---

(19)
Density functional theory data (PBEsol) for a relaxed BaLaSi3 crystal. Values from VASP.

Structure (Quantum ESPRESSO input):
```
&SYSTEM
  ibrav = 0, nat = 5, ntyp = 3
/
ATOMIC_SPECIES
Ba 137.33 Ba.upf
Si 28.09 Si.upf
La 138.91 La.upf
CELL_PARAMETERS angstrom
-3.717 -3.041 2.306
3.770 -3.425 1.560
0.592 2.721 4.542
ATOMIC_POSITIONS angstrom
Ba 0.000 0.000 0.000
Si -1.859 -1.520 1.153
Si 0.296 1.360 2.271
Si 1.885 -1.713 0.780
La 0.323 -1.873 4.204
```

The formation energy without anion corrections is 1.00 eV/atom. The symmetry is Pm-3m, No. 221.

---

(20)
Density functional theory data (PBEsol) for a relaxed BaLaSi2 crystal. Values from VASP.

Structure (Quantum ESPRESSO input):
```
&SYSTEM
  ibrav = 0, nat = 4, ntyp = 3
/
ATOMIC_SPECIES
Ba 137.33 Ba.upf
Si 28.09 Si.upf
La 138.91 La.upf
CELL_PARAMETERS angstrom
3.976 0.000 0.000
0.000 4.611 0.000
0.000 -2.305 5.965
ATOMIC_POSITIONS angstrom
Ba 0.000 0.000 5.679
Si 0.000 0.000 2.297
Si 1.988 0.000 0.856
La 1.988 2.305 3.098
```

The formation energy without anion corrections is -0.55 eV/atom. The symmetry is Amm2, No. 38. The energy relative to the lowest polymorph listed for this composition is 0.084 eV/atom.

---

| no. | E_tot (eV per atom) | magnetization (Bohr magnetons per cell) |
| --- | --- | --- |
| 1 | -3.0622 | 0.65 |
| 2 | -5.0331 | 0.00 |
| 3 | -4.4957 | 0.00 |
| 4 | -4.5985 | 0.00 |
| 5 | -4.6762 | 0.00 |
| 6 | -3.6997 | 2.24 |
| 7 | -2.8362 | 1.42 |
| 8 | -4.9349 | 0.00 |
| 9 | -4.6922 | 0.00 |
| 10 | -4.8089 | 0.00 |
| 11 | -4.7554 | 0.00 |
| 12 | -5.8719 | 0.00 |
| 13 | -3.7613 | 0.00 |
| 14 | -4.4507 | 0.00 |
| 15 | -4.0812 | 0.00 |
| 16 | -4.0805 | 0.00 |
| 17 | -5.3824 | 0.01 |
| 18 | -5.0522 | 0.00 |
| 19 | -3.9467 | 0.00 |
| 20 | -5.2985 | 0.00 |